<A>
# BeInRe2

Crystalline BeInRe2 at its relaxed geometry (PBEsol, Alexandria).

Calculated values
total moment: 0.000 μB per formula unit
space-group type: Cmmm, No. 65

The structure in POSCAR format:
```
BeInRe2
1.0
2.783 0.000 0.000
0.000 4.893 0.013
0.000 -2.164 4.389
In Be Re
1 1 2
Cartesian
1.392 1.365 2.201
1.392 0.000 0.000
0.000 -1.082 2.194
0.000 2.447 0.006
```


<B>
# BeInRe2

Crystalline BeInRe2 at its relaxed geometry (PBEsol, Alexandria).

Calculated values
total moment: 0.000 μB per formula unit
space-group type: P2/m, No. 10

The structure in POSCAR format:
```
BeInRe2
1.0
-0.529 2.707 0.304
-3.111 -0.297 -2.768
-3.079 -1.939 3.668
Re In Be
2 1 1
Cartesian
-2.774 0.362 3.079
-0.834 0.407 0.893
-3.095 -1.118 0.450
-1.820 1.205 -1.232
```


Structures ranked by computed energy, the most stable listed first: <B>, <A>.